Entry 1:
# CdTcP2 (PBE, optimized geometry)
# Energy in eV for the cell shown: -40.57
data_CdTcP2
_symmetry_space_group_name_H-M 'C m m m'
_symmetry_Int_Tables_number 65
_symmetry_space_group_name_Hall '-C 2 2'
_cell_length_a 5.796
_cell_length_b 6.754
_cell_length_c 3.195
_cell_angle_alpha 90.00
_cell_angle_beta 90.00
_cell_angle_gamma 90.00
loop_
_atom_site_label
_atom_site_type_symbol
_atom_site_fract_x
_atom_site_fract_y
_atom_site_fract_z
_atom_site_occupancy
Cd1 Cd 0.000 0.000 0.000 1
Tc1 Tc 0.000 0.500 0.000 1
P1 P 0.250 0.250 0.500 1


Entry 2:
# YCr3Ni (PBE, optimized geometry)
# Excess energy over the best structure of this formula in the dataset in eV per formula unit: 9.03
data_YCr3Ni
_symmetry_space_group_name_H-M 'P m -3 m'
_symmetry_Int_Tables_number 221
_symmetry_space_group_name_Hall '-P 4 2 3'
_cell_length_a 4.459
_cell_length_b 4.459
_cell_length_c 4.459
_cell_angle_alpha 90.00
_cell_angle_beta 90.00
_cell_angle_gamma 90.00
loop_
_atom_site_label
_atom_site_type_symbol
_atom_site_fract_x
_atom_site_fract_y
_atom_site_fract_z
_atom_site_occupancy
Y1 Y 0.000 0.000 0.000 1
Cr1 Cr 0.000 0.000 0.500 1
Ni1 Ni 0.500 0.500 0.500 1


Entry 3:
# RbRu3N (PBE, optimized geometry)
# Excess energy over the best structure of this formula in the dataset in eV per formula unit: 14.77
# Uncorrected formation energy in eV/atom: 4.109
data_RbRu3N
_symmetry_space_group_name_H-M 'P m -3 m'
_symmetry_Int_Tables_number 221
_symmetry_space_group_name_Hall '-P 4 2 3'
_cell_length_a 4.904
_cell_length_b 4.904
_cell_length_c 4.904
_cell_angle_alpha 90.00
_cell_angle_beta 90.00
_cell_angle_gamma 90.00
loop_
_atom_site_label
_atom_site_type_symbol
_atom_site_fract_x
_atom_site_fract_y
_atom_site_fract_z
_atom_site_occupancy
Rb1 Rb 0.000 0.000 0.000 1
Ru1 Ru 0.000 0.000 0.500 1
N1 N 0.500 0.500 0.500 1


Entry 4:
# KErZnO3 (PBE, optimized geometry)
# Uncorrected formation energy in eV/atom: -2.256
data_KErZnO3
_symmetry_space_group_name_H-M 'P 1 21/m 1'
_symmetry_Int_Tables_number 11
_symmetry_space_group_name_Hall '-P 2yb'
_cell_length_a 7.288
_cell_length_b 3.492
_cell_length_c 9.441
_cell_angle_alpha 90.00
_cell_angle_beta 112.49
_cell_angle_gamma 90.00
loop_
_atom_site_label
_atom_site_type_symbol
_atom_site_fract_x
_atom_site_fract_y
_atom_site_fract_z
_atom_site_occupancy
K1 K 0.203 0.250 0.169 1
Er1 Er 0.327 0.750 0.858 1
Zn1 Zn 0.032 0.250 0.617 1
O1 O 0.103 0.250 0.839 1
O2 O 0.170 0.750 0.594 1
O3 O 0.464 0.750 0.113 1


Entry 5:
# Zr2TeRh2 (PBE, optimized geometry)
# Excess energy over the best structure of this formula in the dataset in eV per formula unit: 0.77
# Uncorrected formation energy in eV/atom: -0.525
data_Zr2TeRh2
_symmetry_space_group_name_H-M 'P 4/m b m'
_symmetry_Int_Tables_number 127
_symmetry_space_group_name_Hall '-P 4 2ab'
_cell_length_a 7.848
_cell_length_b 7.848
_cell_length_c 3.265
_cell_angle_alpha 90.00
_cell_angle_beta 90.00
_cell_angle_gamma 90.00
loop_
_atom_site_label
_atom_site_type_symbol
_atom_site_fract_x
_atom_site_fract_y
_atom_site_fract_z
_atom_site_occupancy
Zr1 Zr 0.158 0.342 0.000 1
Te1 Te 0.000 0.000 0.000 1
Rh1 Rh 0.130 0.630 0.500 1


Entry 6:
# Pt3CN (PBE, optimized geometry)
# Excess energy over the best structure of this formula in the dataset in eV per formula unit: 0.00
# Uncorrected formation energy in eV/atom: 1.454
data_Pt3CN
_symmetry_space_group_name_H-M 'P m -3 m'
_symmetry_Int_Tables_number 221
_symmetry_space_group_name_Hall '-P 4 2 3'
_cell_length_a 4.128
_cell_length_b 4.128
_cell_length_c 4.128
_cell_angle_alpha 90.00
_cell_angle_beta 90.00
_cell_angle_gamma 90.00
loop_
_atom_site_label
_atom_site_type_symbol
_atom_site_fract_x
_atom_site_fract_y
_atom_site_fract_z
_atom_site_occupancy
Pt1 Pt 0.000 0.000 0.500 1
C1 C 0.000 0.000 0.000 1
N1 N 0.500 0.500 0.500 1


Number 1: ρ 7.23 g/cm3. Number 2: ρ 5.69 g/cm3. Number 3: ρ 5.67 g/cm3. Number 4: ρ 4.78 g/cm3. Number 5: ρ 8.52 g/cm3. Number 6: ρ 14.43 g/cm3.